1.
Compound: BaAc2Mg
Source: the Alexandria database
Functional: PBE-GGA
Structure: optimized geometry

Cell and atoms, written as extended XYZ:
```
4
Lattice="5.565 0.000 0.000 0.000 5.514 0.000 0.000 0.000 5.514" Properties=species:S:1:pos:R:3 pbc="T T T"
Ba 2.783 2.757 2.757
Mg 2.783 0.000 0.000
Ac 0.000 2.757 0.000
Ac 0.000 0.000 2.757
```

Values from the calculation:
Total energy ... -11.3 eV/cell
Mass density ... 6.0 g cm⁻³
Formation energy ... 0.118 eV per atom
Polymorph energy (0 for the lowest one) ... 0.41 eV per formula unit

2.
Compound: Ba2AcMg
Source: the Alexandria database
Functional: PBE-GGA
Structure: optimized geometry

Cell and atoms, written as extended XYZ:
```
4
Lattice="4.487 0.000 0.000 0.000 6.448 0.000 0.000 0.000 6.448" Properties=species:S:1:pos:R:3 pbc="T T T"
Ba 0.000 0.000 3.224
Mg 2.243 0.000 0.000
Ba 0.000 3.224 0.000
Ac 2.243 3.224 3.224
```

Values from the calculation:
Total energy ... -9.0 eV/cell
Mass density ... 4.7 g cm⁻³
Formation energy ... 0.125 eV per atom
Polymorph energy (0 for the lowest one) ... 0.27 eV per formula unit

Question: What is the polymorph energy (0 for the lowest one) in the second record?
Answer: 0.27 eV per formula unit